Record 1
First-principles (PBE-GGA) data for SrTePt2 after structural relaxation, as listed in the Alexandria database.

POSCAR file:
```
SrTePt2
1.0
-2.293 2.293 4.149
2.293 -2.293 4.149
2.293 2.293 -4.149
Sr Te Pt
1 1 2
Direct
0.000 0.000 0.000
0.500 0.500 0.000
0.250 0.750 0.500
0.750 0.250 0.500
```

Output
* ΔE_f (raw): -33.2 kJ per mole of atoms
* Fermi-level density of states: 0.95 states/eV/atom
* relative energy among the computed polymorphs: 359 meV per atom

---

Record 2
First-principles (PBE-GGA) data for La4PmN5 after structural relaxation, as listed in the Alexandria database.

POSCAR file:
```
La4PmN5
1.0
-4.100 4.100 2.740
4.100 -4.100 2.740
4.100 4.100 -2.740
La Pm N
4 1 5
Direct
0.101 0.299 0.400
0.299 0.899 0.198
0.701 0.101 0.802
0.899 0.701 0.600
0.502 0.502 0.000
0.158 0.551 0.802
0.355 0.158 0.606
0.551 0.749 0.394
0.749 0.355 0.198
0.937 0.937 0.000
```

Output
* ΔE_f (raw): -129.9 kJ per mole of atoms
* Fermi-level density of states: 0.05 states/eV/atom
* relative energy among the computed polymorphs: 0 meV per atom

---

Which value of relative energy among the computed polymorphs does entry 2 give? 0 meV per atom

---

Look up the ΔE_f (raw) of the first one. -33.2 kJ per mole of atoms

---

The highest relative energy among the computed polymorphs belongs to which entry? SrTePt2

---

Which value of Fermi-level density of states does entry 1 give? 0.95 states/eV/atom